No. 1
Density functional theory data (PBE) for a relaxed structure of Zr2CuSb.

Properties
**Uncorrected formation energy**: -0.120 eV per atom
**Crystal system**: tetragonal
**N(E_F)**: 7.62 states/eV/cell
**Size of the total moment**: 0.00 μB per atom

```
Zr2CuSb
1.0
-3.565 -5.982 2.928
-1.350 -2.603 -6.961
0.122 -5.799 -1.954
Sb Cu Zr
2 2 4
Direct
0.000 0.000 0.000
0.750 0.250 0.500
0.500 0.500 0.000
0.250 0.750 0.500
0.602 0.125 0.250
0.148 0.625 0.250
0.375 0.398 0.750
0.875 0.852 0.750
```

***

No. 2
Density functional theory data (PBE) for a relaxed structure of BiRhSe2F.

Properties
**Uncorrected formation energy**: 0.141 eV per atom
**Crystal system**: tetragonal
**N(E_F)**: 6.92 states/eV/cell
**Size of the total moment**: 0.50 μB per atom

```
BiRhSe2F
1.0
-3.194 -4.386 0.937
3.441 -2.632 -0.588
1.154 0.308 5.375
Rh Bi Se F
1 1 2 1
Direct
0.500 0.500 0.500
0.000 0.000 0.000
0.000 0.000 0.500
0.500 0.000 0.000
0.000 0.500 0.000
```